A plane-wave DFT calculation with PBE was carried out for RbNa2MgSn after structural relaxation.

a b c (Å): 6.102 6.102 5.629
angles (deg): 90.00 90.00 90.00
Element x y z (fractional)
Na 0.000 0.500 0.000
Na 0.500 0.000 0.000
Mg 0.000 0.000 0.500
Sn 0.000 0.000 0.000
Rb 0.500 0.500 0.500

Computed properties:
The symmetry is No. 123. The value obtained for the formation energy is -0.02 eV/atom. The raw total energy is -1.86 eV/atom. The value obtained for the density of states at the Fermi level is 1.904 states/eV per cell.